{
  "formula": "KTiFeS3",
  "functional": "PBE",
  "state": "optimized geometry",
  "formation_energy_uncorrected_ev_per_atom": -1.092,
  "space_group": "P2_1/m",
  "cell": [[8.444, 0.000, 0.000], [0.000, 3.509, 0.000], [-3.723, 0.000, 8.286]],
  "species": ["K", "K", "Ti", "Ti", "Fe", "Fe", "S", "S", "S", "S", "S", "S"],
  "fractional_positions": [[0.220, 0.250, 0.243], [0.780, 0.750, 0.757], [0.318, 0.750, 0.844], [0.682, 0.250, 0.156], [0.086, 0.250, 0.603], [0.914, 0.750, 0.397], [0.126, 0.250, 0.861], [0.197, 0.750, 0.540], [0.469, 0.750, 0.146], [0.531, 0.250, 0.854], [0.803, 0.250, 0.460], [0.874, 0.750, 0.139]]
}